(1)
The following is a PBE-GGA calculation of Ce4ThP6 after structural relaxation, from Alexandria via LeMat-Bulk.

Results
Its formation energy is -1.187 eV per atom. Its density of states at the Fermi level is 1.554 states/eV/atom. Its total magnetic moment is 2.010 μB per formula unit.

abc: 11.3118 11.3118 14.1997
angles: 90.00 90.00 120.00
Space group R-3c (No. 167, hexagonal axes)
Asymmetric unit:
1 Ce 0.0000 0.0000 0.2500 x6
2 Ce 0.0000 0.3816 0.2500 x18
3 Th 0.0000 0.0000 0.0000 x6
4 P 0.0282 0.2123 0.3845 x36



(2)
The following is a PBE-GGA calculation of Ce3Th5P8 after structural relaxation, from Alexandria via LeMat-Bulk.

Results
Its formation energy is -1.547 eV per atom. Its density of states at the Fermi level is 1.070 states/eV/atom. Its total magnetic moment is 0.929 μB per formula unit.

abc: 8.2552 8.2552 20.1829
angles: 90.00 90.00 120.00
Space group R-3m (No. 166, hexagonal axes)
Asymmetric unit:
1 Ce 0.0000 0.5000 0.0000 x9
2 Th 0.0000 0.0000 0.0000 x3
3 Th 0.0000 0.0000 0.5000 x3
4 Th 0.0000 0.5000 0.5000 x9
5 P 0.0000 0.0000 0.2511 x6
6 P 0.0016 0.5008 0.2508 x18



(3)
The following is a PBE-GGA calculation of Ce6ThP8 after structural relaxation, from Alexandria via LeMat-Bulk.

Results
Its formation energy is -1.271 eV per atom. Its density of states at the Fermi level is 1.720 states/eV/atom. Its total magnetic moment is 3.006 μB per formula unit.

abc: 11.582 11.582 11.582
angles: 90.00 90.00 90.00
Space group Fm-3m (No. 225)
Asymmetric unit:
1 Ce 0.000 0.250 0.250 x24
2 Th 0.000 0.000 0.000 x4
3 P 0.000 0.000 0.248 x24
4 P 0.250 0.250 0.250 x8



(4)
The following is a PBE-GGA calculation of CeThP after structural relaxation, from Alexandria via LeMat-Bulk.

Results
Its formation energy is -0.778 eV per atom. Its density of states at the Fermi level is 2.105 states/eV/atom. Its total magnetic moment is 1.242 μB per formula unit.

abc: 3.9081 3.9081 13.2189
angles: 90.00 90.00 120.00
Space group P6_3mc (No. 186)
Asymmetric unit:
1 Ce 0.3333 0.6667 0.0000 x2
2 Th 0.0000 0.0000 0.2409 x2
3 P 0.3333 0.6667 0.3737 x2



(5)
The following is a PBE-GGA calculation of CeThP2 after structural relaxation, from Alexandria via LeMat-Bulk.

Results
Its formation energy is -1.496 eV per atom. Its density of states at the Fermi level is 1.144 states/eV/atom. Its total magnetic moment is 0.348 μB per formula unit. The value obtained for the energy above the lowest structure with this stoichiometry is 47 meV per atom.

abc: 4.0781 4.0781 13.6656
angles: 90.00 90.00 120.00
Space group P6_3/mmc (No. 194)
Asymmetric unit:
1 Ce 0.0000 0.0000 0.0000 x2
2 Th 0.3333 0.6667 0.2500 x2
3 P 0.3333 0.6667 0.6213 x4



(6)
The following is a PBE-GGA calculation of Ce2ThP4 after structural relaxation, from Alexandria via LeMat-Bulk.

Results
Its formation energy is -1.142 eV per atom. Its density of states at the Fermi level is 0.454 states/eV/atom. Its total magnetic moment is 0.002 μB per formula unit.

abc: 4.068 13.695 12.544
angles: 90.00 90.00 90.00
Space group Cmcm (No. 63)
Asymmetric unit:
1 Ce 0.000 0.133 0.066 x8
2 Th 0.000 0.387 0.250 x4
3 P 0.000 0.028 0.250 x4
4 P 0.000 0.232 0.629 x8
5 P 0.000 0.500 0.000 x4



(7)
The following is a PBE-GGA calculation of CeTh2P3 after structural relaxation, from Alexandria via LeMat-Bulk.

Results
Its formation energy is -1.548 eV per atom. Its density of states at the Fermi level is 1.064 states/eV/atom. Its total magnetic moment is 0.563 μB per formula unit.

abc: 4.130 5.838 12.393
angles: 90.00 90.00 90.00
Space group Immm (No. 71)
Asymmetric unit:
1 Ce 0.000 0.000 0.000 x2
2 Th 0.000 0.000 0.333 x4
3 P 0.000 0.500 0.000 x2
4 P 0.000 0.500 0.335 x4



(8)
The following is a PBE-GGA calculation of CeThP2 after structural relaxation, from Alexandria via LeMat-Bulk.

Results
Its formation energy is -1.542 eV per atom. Its density of states at the Fermi level is 1.157 states/eV/atom. Its total magnetic moment is 0.325 μB per formula unit. The value obtained for the energy above the lowest structure with this stoichiometry is 0 meV per atom.

abc: 4.1224 4.1224 20.1313
angles: 90.00 90.00 120.00
Space group R-3m (No. 166, hexagonal axes)
Asymmetric unit:
1 Ce 0.0000 0.0000 0.0000 x3
2 Th 0.0000 0.0000 0.5000 x3
3 P 0.0000 0.0000 0.2512 x6



(9)
The following is a PBE-GGA calculation of CeThP2 after structural relaxation, from Alexandria via LeMat-Bulk.

Results
Its formation energy is -1.366 eV per atom. Its density of states at the Fermi level is 1.620 states/eV/atom. Its total magnetic moment is 0.670 μB per formula unit. The value obtained for the energy above the lowest structure with this stoichiometry is 177 meV per atom.

abc: 4.0409 4.0409 21.3733
angles: 90.00 90.00 120.00
Space group R3m (No. 160, hexagonal axes)
Asymmetric unit:
1 Ce 0.0000 0.0000 0.0000 x3
2 Th 0.0000 0.0000 0.8259 x3
3 P 0.0000 0.0000 0.2450 x3
4 P 0.0000 0.0000 0.4131 x3



(10)
The following is a PBE-GGA calculation of CeThP after structural relaxation, from Alexandria via LeMat-Bulk.

Results
Its formation energy is -0.662 eV per atom. Its density of states at the Fermi level is 1.860 states/eV/atom. Its total magnetic moment is 0.003 μB per formula unit.

abc: 3.636 3.636 11.721
angles: 90.00 90.00 90.00
Space group I4mm (No. 107)
Asymmetric unit:
1 Ce 0.000 0.000 0.000 x2
2 Th 0.000 0.000 0.733 x2
3 P 0.000 0.000 0.368 x2



(11)
The following is a PBE-GGA calculation of CeTm2ThP4 after structural relaxation, from Alexandria via LeMat-Bulk.

Results
Its formation energy is -1.569 eV per atom. Its density of states at the Fermi level is 0.773 states/eV/atom. Its total magnetic moment is 0.676 μB per formula unit.

abc: 6.964 4.047 7.005
angles: 90.00 109.61 90.00
Space group P2/m (No. 10)
Asymmetric unit:
1 Ce 0.000 0.000 0.000 x1
2 Tm 0.500 0.000 0.500 x1
3 Tm 0.500 0.500 0.000 x1
4 Th 0.000 0.500 0.500 x1
5 P 0.259 0.500 0.252 x2
6 P 0.260 0.000 0.755 x2



(12)
The following is a PBE-GGA calculation of Ce3Tm2ThP6 after structural relaxation, from Alexandria via LeMat-Bulk.

Results
Its formation energy is -1.543 eV per atom. Its density of states at the Fermi level is 1.219 states/eV/atom. Its total magnetic moment is 1.785 μB per formula unit.

abc: 7.025 12.168 7.033
angles: 90.00 109.47 90.00
Space group C2/m (No. 12)
Asymmetric unit:
1 Ce 0.000 0.000 0.000 x2
2 Ce 0.000 0.334 0.000 x4
3 Tm 0.000 0.167 0.500 x4
4 Th 0.000 0.500 0.500 x2
5 P 0.242 0.000 0.745 x4
6 P 0.248 0.170 0.254 x8



(13)
The following is a PBE-GGA calculation of Ce3ThU2P6 after structural relaxation, from Alexandria via LeMat-Bulk.

Results
Its formation energy is -1.316 eV per atom. Its density of states at the Fermi level is 2.230 states/eV/atom. Its total magnetic moment is 6.011 μB per formula unit.

abc: 6.998 12.126 7.049
angles: 90.00 109.36 90.00
Space group C2/m (No. 12)
Asymmetric unit:
1 Ce 0.000 0.000 0.000 x2
2 Ce 0.000 0.336 0.000 x4
3 Th 0.000 0.500 0.500 x2
4 U 0.000 0.167 0.500 x4
5 P 0.237 0.000 0.741 x4
6 P 0.247 0.171 0.256 x8



(14)
The following is a PBE-GGA calculation of Ce2Th3UP6 after structural relaxation, from Alexandria via LeMat-Bulk.

Results
Its formation energy is -1.437 eV per atom. Its density of states at the Fermi level is 1.300 states/eV/atom. Its total magnetic moment is 2.915 μB per formula unit.

abc: 17.834 4.088 8.199
angles: 90.00 103.22 90.00
Space group C2/m (No. 12)
Asymmetric unit:
1 Ce 0.166 0.000 0.332 x4
2 Th 0.000 0.500 0.500 x2
3 Th 0.168 0.000 0.834 x4
4 U 0.000 0.500 0.000 x2
5 P 0.000 0.000 0.240 x4
6 P 0.163 0.500 0.084 x4
7 P 0.168 0.500 0.581 x4



(15)
The following is a PBE-GGA calculation of CeThU2P4 after structural relaxation, from Alexandria via LeMat-Bulk.

Results
Its formation energy is -1.238 eV per atom. Its density of states at the Fermi level is 1.803 states/eV/atom. Its total magnetic moment is 4.721 μB per formula unit.

abc: 6.932 4.000 7.064
angles: 90.00 109.06 90.00
Space group P2/m (No. 10)
Asymmetric unit:
1 Ce 0.000 0.000 0.000 x1
2 Th 0.500 0.500 0.000 x1
3 U 0.000 0.500 0.500 x1
4 U 0.500 0.000 0.500 x1
5 P 0.243 0.000 0.736 x2
6 P 0.252 0.500 0.263 x2



(16)
The following is a PBE-GGA calculation of Ce2ThUP4 after structural relaxation, from Alexandria via LeMat-Bulk.

Results
Its formation energy is -1.367 eV per atom. Its density of states at the Fermi level is 1.851 states/eV/atom. Its total magnetic moment is 3.483 μB per formula unit.

abc: 5.757 5.757 11.520
angles: 90.00 90.00 90.00
Space group I-4m2 (No. 119)
Asymmetric unit:
1 Ce 0.000 0.000 0.000 x2
2 Ce 0.000 0.500 0.250 x2
3 Th 0.000 0.500 0.750 x2
4 U 0.000 0.000 0.500 x2
5 P 0.000 0.000 0.256 x4
6 P 0.000 0.500 0.002 x4



(17)
The following is a PBE-GGA calculation of CeTh2U3P6 after structural relaxation, from Alexandria via LeMat-Bulk.

Results
Its formation energy is -1.242 eV per atom. Its density of states at the Fermi level is 1.634 states/eV/atom. Its total magnetic moment is 6.968 μB per formula unit.

abc: 17.664 4.006 8.130
angles: 90.00 104.34 90.00
Space group C2/m (No. 12)
Asymmetric unit:
1 Ce 0.000 0.000 0.000 x2
2 Th 0.166 0.500 0.333 x4
3 U 0.000 0.000 0.500 x2
4 U 0.167 0.500 0.833 x4
5 P 0.004 0.500 0.744 x4
6 P 0.163 0.000 0.592 x4
7 P 0.169 0.000 0.074 x4



(18)
The following is a PBE-GGA calculation of CeY2Th3P6 after structural relaxation, from Alexandria via LeMat-Bulk.

Results
Its formation energy is -1.574 eV per atom. Its density of states at the Fermi level is 0.722 states/eV/atom. Its total magnetic moment is 0.481 μB per formula unit.

abc: 7.101 12.300 7.073
angles: 90.00 109.55 90.00
Space group C2/m (No. 12)
Asymmetric unit:
1 Ce 0.000 0.000 0.000 x2
2 Y 0.000 0.333 0.000 x4
3 Th 0.000 0.166 0.500 x4
4 Th 0.000 0.500 0.500 x2
5 P 0.246 0.500 0.244 x4
6 P 0.249 0.167 0.245 x8



(19)
The following is a PBE-GGA calculation of Ce4YTh3P8 after structural relaxation, from Alexandria via LeMat-Bulk.

Results
Its formation energy is -1.546 eV per atom. Its density of states at the Fermi level is 1.248 states/eV/atom. Its total magnetic moment is 2.017 μB per formula unit.

abc: 8.2105 8.2105 20.1207
angles: 90.00 90.00 120.00
Space group R-3m (No. 166, hexagonal axes)
Asymmetric unit:
1 Ce 0.0000 0.0000 0.0000 x3
2 Ce 0.0000 0.5000 0.0000 x9
3 Y 0.0000 0.0000 0.5000 x3
4 Th 0.0000 0.5000 0.5000 x9
5 P 0.0000 0.0000 0.2511 x6
6 P 0.0033 0.5016 0.2502 x18



(20)
The following is a PBE-GGA calculation of Ce3YTh2P6 after structural relaxation, from Alexandria via LeMat-Bulk.

Results
Its formation energy is -1.549 eV per atom. Its density of states at the Fermi level is 1.241 states/eV/atom. Its total magnetic moment is 1.578 μB per formula unit.

abc: 7.102 12.299 7.106
angles: 90.00 109.46 90.00
Space group C2/m (No. 12)
Asymmetric unit:
1 Ce 0.000 0.000 0.000 x2
2 Ce 0.000 0.333 0.000 x4
3 Y 0.000 0.500 0.500 x2
4 Th 0.000 0.166 0.500 x4
5 P 0.246 0.500 0.249 x4
6 P 0.248 0.335 0.750 x8



(21)
The following is a PBE-GGA calculation of Ce2YTh3P6 after structural relaxation, from Alexandria via LeMat-Bulk.

Results
Its formation energy is -1.557 eV per atom. Its density of states at the Fermi level is 0.942 states/eV/atom. Its total magnetic moment is 0.566 μB per formula unit.

abc: 7.118 12.327 7.101
angles: 90.00 109.52 90.00
Space group C2/m (No. 12)
Asymmetric unit:
1 Ce 0.000 0.166 0.000 x4
2 Y 0.000 0.500 0.000 x2
3 Th 0.000 0.000 0.500 x2
4 Th 0.000 0.333 0.500 x4
5 P 0.247 0.334 0.245 x8
6 P 0.250 0.000 0.246 x4



(22)
The following is a PBE-GGA calculation of CeYTh2P4 after structural relaxation, from Alexandria via LeMat-Bulk.

Results
Its formation energy is -1.566 eV per atom. Its density of states at the Fermi level is 0.844 states/eV/atom. Its total magnetic moment is 0.354 μB per formula unit.

abc: 7.089 4.106 7.106
angles: 90.00 109.54 90.00
Space group P2/m (No. 10)
Asymmetric unit:
1 Ce 0.000 0.000 0.000 x1
2 Y 0.000 0.500 0.500 x1
3 Th 0.500 0.000 0.500 x1
4 Th 0.500 0.500 0.000 x1
5 P 0.245 0.000 0.747 x2
6 P 0.245 0.500 0.250 x2